No. 1
{
  "formula": "Pr3SiO",
  "functional": "GGA-PBE",
  "state": "optimized geometry",
  "formation_energy_uncorrected_kj_per_mol_atoms": -122.1,
  "total_energy_ev_per_cell": -31.05,
  "n_ef_per_ev_fu": 3.34,
  "polymorph_energy_ev_per_atom": 0.000,
  "lattice_angstrom": [[4.914, 0.000, 0.000], [0.000, 4.914, 0.000], [0.000, 0.000, 4.914]],
  "species": ["Pr", "Pr", "Pr", "Si", "O"],
  "frac_coords": [[0.000, 0.500, 0.000], [0.000, 0.000, 0.500], [0.500, 0.000, 0.000], [0.500, 0.500, 0.500], [0.000, 0.000, 0.000]]
}

=====

No. 2
{
  "formula": "Pr6Si3O",
  "functional": "GGA-PBE",
  "state": "optimized geometry",
  "formation_energy_uncorrected_kj_per_mol_atoms": -87.5,
  "total_energy_ev_per_cell": -117.94,
  "n_ef_per_ev_fu": 8.28,
  "lattice_angstrom": [[6.570, 0.000, 0.038], [0.000, 7.944, 0.000], [0.118, 0.000, 10.217]],
  "species": ["Pr", "Pr", "Pr", "Pr", "Pr", "Pr", "Pr", "Pr", "Pr", "Pr", "Pr", "Pr", "Si", "Si", "Si", "Si", "Si", "Si", "O", "O"],
  "frac_coords": [[0.672, 0.166, 0.942], [0.640, 0.202, 0.562], [0.638, 0.452, 0.264], [0.362, 0.548, 0.736], [0.360, 0.798, 0.438], [0.328, 0.834, 0.058], [0.172, 0.334, 0.442], [0.140, 0.298, 0.062], [0.138, 0.048, 0.764], [0.862, 0.952, 0.236], [0.860, 0.702, 0.938], [0.828, 0.666, 0.558], [0.565, 0.889, 0.749], [0.500, 0.500, 0.000], [0.435, 0.111, 0.251], [0.065, 0.611, 0.249], [0.000, 0.000, 0.500], [0.935, 0.389, 0.751], [0.500, 0.500, 0.500], [0.000, 0.000, 0.000]]
}

=====

No. 3
{
  "formula": "PrSiO",
  "functional": "GGA-PBE",
  "state": "optimized geometry",
  "formation_energy_uncorrected_kj_per_mol_atoms": -152.7,
  "total_energy_ev_per_cell": -79.64,
  "n_ef_per_ev_fu": 0.53,
  "lattice_angstrom": [[3.406, 0.000, 0.000], [0.000, 5.886, 0.000], [0.000, 0.000, 11.976]],
  "species": ["Si", "Si", "Si", "Si", "O", "O", "O", "O", "Pr", "Pr", "Pr", "Pr"],
  "frac_coords": [[0.750, 0.871, 0.981], [0.250, 0.629, 0.481], [0.250, 0.129, 0.019], [0.750, 0.371, 0.519], [0.750, 0.357, 0.236], [0.250, 0.143, 0.736], [0.250, 0.643, 0.764], [0.750, 0.857, 0.264], [0.750, 0.383, 0.825], [0.250, 0.117, 0.325], [0.250, 0.617, 0.175], [0.750, 0.883, 0.675]]
}

=====

> Which formula does entry 3 have?

PrSiO

=====

> Which formula does entry 3 have?

PrSiO